*A*
A relaxed structure of Rb2CeAgBr6, computed with PBE.

a b c (Å): 7.921 8.207 13.690
angles (deg): 90.00 124.81 90.00
Space group P2_1/c (No. 14)
One atom of each set of equivalent atoms:
Rb (0.229, 0.064, 0.248) x4
Ce (0.500, 0.000, 0.000) x2
Ag (0.000, 0.000, 0.500) x2
Br (0.160, 0.203, 0.956) x4
Br (0.257, 0.707, 0.958) x4
Br (0.332, 0.017, 0.747) x4

ρ = 4.1 g cm⁻³

*B*
A relaxed structure of Rb2CeAgBr6, computed with PBE.

a b c (Å): 11.503 11.503 11.503
angles (deg): 90.00 90.00 90.00
Space group Fm-3m (No. 225)
One atom of each set of equivalent atoms:
Rb (0.250, 0.250, 0.250) x8
Ce (0.000, 0.000, 0.000) x4
Ag (0.000, 0.000, 0.500) x4
Br (0.000, 0.000, 0.252) x24

ρ = 3.9 g cm⁻³

Energy ordering: *A* at the bottom, the next structure 2.4 kJ/mol of atoms above.

*A*
A relaxed structure of AgBrCl2, computed with PBE.

a b c (Å): 4.444 6.646 4.591
angles (deg): 90.00 118.15 90.00
Space group Pm (No. 6)
One atom of each set of equivalent atoms:
Ag (0.000, 0.000, 0.000) x1
Br (0.045, 0.500, 0.969) x1
Cl (0.331, 0.000, 0.649) x1
Cl (0.623, 0.500, 0.400) x1

ρ = 3.6 g cm⁻³

*B*
A relaxed structure of AgBrCl2, computed with PBE.

a b c (Å): 7.123 7.123 7.123
angles (deg): 90.00 90.00 90.00
Space group F-43m (No. 216)
One atom of each set of equivalent atoms:
Ag (0.000, 0.000, 0.000) x4
Br (0.250, 0.250, 0.750) x4
Cl (0.000, 0.000, 0.500) x4
Cl (0.250, 0.250, 0.250) x4

ρ = 4.8 g cm⁻³

*C*
A relaxed structure of AgBrCl2, computed with PBE.

a b c (Å): 3.435 3.435 8.110
angles (deg): 90.00 90.00 90.00
Space group P4mm (No. 99)
One atom of each set of equivalent atoms:
Ag (0.000, 0.000, 0.000) x1
Br (0.500, 0.500, 0.231) x1
Cl (0.000, 0.000, 0.478) x1
Cl (0.500, 0.500, 0.834) x1

ρ = 4.5 g cm⁻³

Energy ordering: *A* at the bottom, the next structure 36.4 kJ/mol of atoms above.

*A*
A relaxed structure of AgBrCl2, computed with PBE.

a b c (Å): 3.822 3.837 7.694
angles (deg): 90.00 90.00 90.00
Space group Pmmm (No. 47)
One atom of each set of equivalent atoms:
Ag (0.000, 0.000, 0.000) x1
Br (0.500, 0.000, 0.500) x1
Cl (0.000, 0.500, 0.500) x1
Cl (0.500, 0.500, 0.000) x1

ρ = 3.8 g cm⁻³

*B*
A relaxed structure of AgBrCl2, computed with PBE.

a b c (Å): 3.116 3.116 11.244
angles (deg): 90.00 90.00 90.00
Space group P4/mmm (No. 123)
One atom of each set of equivalent atoms:
Ag (0.000, 0.000, 0.000) x1
Br (0.000, 0.000, 0.500) x1
Cl (0.500, 0.500, 0.156) x2

ρ = 3.9 g cm⁻³

*C*
A relaxed structure of AgBrCl2, computed with PBE.

a b c (Å): 5.490 3.638 5.514
angles (deg): 90.00 97.27 90.00
Space group P2/m (No. 10)
One atom of each set of equivalent atoms:
Ag (0.000, 0.000, 0.000) x1
Br (0.500, 0.000, 0.500) x1
Cl (0.200, 0.500, 0.800) x2

ρ = 3.9 g cm⁻³

*D*
A relaxed structure of AgBrCl2, computed with PBE.

a b c (Å): 4.1975 4.1975 22.7772
angles (deg): 90.00 90.00 120.00
Space group R-3m (No. 166, hexagonal axes)
One atom of each set of equivalent atoms:
Ag (0.0000, 0.0000, 0.0000) x3
Br (0.0000, 0.0000, 0.5000) x3
Cl (0.0000, 0.0000, 0.3933) x6

ρ = 3.7 g cm⁻³

Energy ordering: *D* at the bottom, the next structure 15.0 kJ/mol of atoms above.